Below is a relaxed structure of Mg2ScAuSe, with properties calculated at the PBE-GGA level.

Values from the calculation:
N(E_F)   2.5 states/eV/f.u.
Space-group type   No. 123
Raw total energy   -3.5293 eV per atom

Cell: 5.006 5.214 5.006 Å, 90.00 90.00 90.00°
Sites, in units of the cell vectors:
Sc 0.000 0.500 0.000
Mg 0.000 0.000 0.500
Mg 0.500 0.000 0.000
Au 0.000 0.000 0.000
Se 0.500 0.500 0.500